VASP calculation (PBEsol) on crystalline TlCoB2 at its relaxed geometry.

Total magnetization = 0.0 Bohr magnetons per cell
DFT total energy = -73.4 eV per cell
E_form = 1.510 eV per atom

a = 5.6584 Å, b = 5.6584 Å, c = 5.6584 Å
α = 90.00°, β = 90.00°, γ = 90.00°
With the nearest neighbours (Å) after each atom.
Space group Fm-3m (No. 225)
Asymmetric unit:
1 Tl 0.0000 0.0000 0.0000 x4  8 B 2.45
2 Co 0.0000 0.0000 0.5000 x4  8 B 2.45
3 B 0.2500 0.2500 0.2500 x8  4 Tl 2.45, 4 Co 2.45